1.
! LiCdSnGe | Alexandria | GGA-PBE | optimized geometry; values from VASP
&SYSTEM
  ibrav = 0, nat = 4, ntyp = 4
/
ATOMIC_SPECIES
Ge 72.64 Ge.upf
Sn 118.71 Sn.upf
Li 6.94 Li.upf
Cd 112.41 Cd.upf
CELL_PARAMETERS angstrom
-3.760 3.236 0.023
-3.903 -0.711 -2.980
-4.384 -1.304 1.922
ATOMIC_POSITIONS angstrom
Ge -3.012 0.305 -0.259
Sn -9.035 0.916 -0.776
Li 0.000 0.000 0.000
Cd -6.023 0.610 -0.517
! - DOS(E_F): 1.322 states/eV/cell
! - Spin magnetization: 0.000 μB per cell
! - E_tot: -2.879 eV/atom
! - Energy of formation: -0.017 eV/atom
! - V: 86.3 Å³/f.u.

=====

2.
! Hg2Pd4Pt5 | Alexandria | GGA-PBE | optimized geometry; values from VASP
&SYSTEM
  ibrav = 0, nat = 11, ntyp = 3
/
ATOMIC_SPECIES
Pt 195.08 Pt.upf
Pd 106.42 Pd.upf
Hg 200.59 Hg.upf
CELL_PARAMETERS angstrom
-2.562 1.058 -0.053
-2.008 -4.603 5.155
2.877 3.777 8.862
ATOMIC_POSITIONS angstrom
Pt -2.189 -1.237 8.608
Pt -0.362 3.125 7.343
Pt 0.496 1.468 5.356
Pt -1.281 0.529 -0.027
Pt -1.332 -2.894 6.621
Pd -0.519 2.878 10.026
Pd -1.710 -0.214 5.866
Pd 0.017 0.446 8.097
Pd -1.175 -2.646 3.938
Hg -1.533 0.458 10.709
Hg -0.161 -0.226 3.255
! - DOS(E_F): 14.056 states/eV/cell
! - Spin magnetization: 0.000 μB per cell
! - E_tot: -4.642 eV/atom
! - Energy of formation: 0.047 eV/atom
! - V: 188.6 Å³/f.u.

=====

3.
! RbVIr3 | Alexandria | GGA-PBE | optimized geometry; values from VASP
&SYSTEM
  ibrav = 0, nat = 5, ntyp = 3
/
ATOMIC_SPECIES
V 50.94 V.upf
Ir 192.22 Ir.upf
Rb 85.47 Rb.upf
CELL_PARAMETERS angstrom
-0.454 -2.911 -3.658
1.601 -3.550 2.626
-4.392 -0.993 1.336
ATOMIC_POSITIONS angstrom
V 0.000 0.000 0.000
Ir -2.196 -0.497 0.668
Ir -0.227 -1.456 -1.829
Ir 0.801 -1.775 1.313
Rb -1.622 -3.727 0.152
! - Energy relative to the lowest polymorph listed for this composition: 0.0 meV/atom
! - DOS(E_F): 4.673 states/eV/cell
! - Spin magnetization: 0.000 μB per cell
! - E_tot: -6.238 eV/atom
! - Energy of formation: 1.096 eV/atom
! - V: 103.6 Å³/f.u.